{"formula": "Cs3PuF8", "functional": "GGA-PBE", "state": "relaxed", "cell": [[-6.380, 1.611, 0.961], [2.415, -6.319, 3.617], [1.150, 0.669, 6.516]], "species": ["Cs", "Cs", "Cs", "Pu", "F", "F", "F", "F", "F", "F", "F", "F"], "frac_coords": [[0.750, 0.500, 0.750], [0.250, 0.500, 0.250], [0.500, 0.000, 0.500], [0.000, 0.000, 0.000], [0.296, 0.209, 0.087], [0.913, 0.209, 0.704], [0.704, 0.791, 0.296], [0.087, 0.791, 0.913], [0.704, 0.793, 0.911], [0.089, 0.793, 0.296], [0.296, 0.207, 0.704], [0.911, 0.207, 0.089]], "total_energy_ev_per_atom": -5.68, "formation_energy_uncorrected_ev_per_atom": -3.028, "space_group": "I-42m, No. 121"}